Computed, not measured: an optimized crystal structure of PaNi5As2 at the GGA-PBE level of DFT.

Unit cell a=3.772 b=5.993 c=5.993 alpha=64.99 beta=71.66 gamma=71.66
Sites, in units of the cell vectors:
Ni 0.368 0.439 0.825
Ni 0.632 0.561 0.175
Ni 0.632 0.175 0.561
Ni 0.000 0.500 0.500
Ni 0.368 0.825 0.439
As 0.756 0.744 0.744
As 0.244 0.256 0.256
Pa 0.000 0.000 0.000

Summary:
Size of the total moment, μB per formula unit: 0.0
Energy relative to the elements, eV/f.u.: -3.5
SG: No. 71